The following is a PBE calculation of a relaxed structure of Y2SnRh, from the Alexandria database.

The uncorrected energy is -6.48 eV per atom. As for the calculated density: 6.48 g cm⁻³. Its formation energy is -0.41 eV per atom.

The structure belongs to space group I-42d (No. 122); the cell edges are 7.956, 7.956 and 6.467 Å and the angles 90.00°, 90.00° and 90.00°. The asymmetric unit holds Y at (0.202, 0.250, 0.125), Sn at (0.000, 0.000, 0.500) and Rh at (0.000, 0.000, 0.000).

The following is a PBE calculation of a relaxed structure of Hg2WSe, from the Alexandria database.

The uncorrected energy is -3.32 eV per atom. Its uncorrected formation energy is 361 kJ/mol of formula units. As for the calculated density: 13.27 g cm⁻³.

The structure belongs to space group I4/mmm (No. 139); the cell edges are 3.972, 3.972 and 10.538 Å and the angles 90.00°, 90.00° and 90.00°. The asymmetric unit holds Hg at (0.000, 0.500, 0.250), W at (0.000, 0.000, 0.000) and Se at (0.000, 0.000, 0.500).

The following is a PBE calculation of a relaxed structure of UPa6Al, from the Alexandria database.

The uncorrected energy is -8.81 eV per atom. As for the calculated density: 14.35 g cm⁻³. Its formation energy is 0.19 eV per atom.

The structure belongs to space group R-3m (No. 166, hexagonal axes); the cell edges are 10.2426, 10.2426 and 6.3082 Å and the angles 90.00°, 90.00° and 120.00°. The asymmetric unit holds U at (0.0000, 0.0000, 0.0000), Pa at (0.9999, 0.4999, 0.2501) and Al at (0.0000, 0.0000, 0.5000).

The following is a PBE calculation of a relaxed structure of KSc2Ag, from the Alexandria database.

The uncorrected energy is -3.54 eV per atom. As for the calculated density: 3.66 g cm⁻³. Its formation energy is 0.61 eV per atom.

The structure belongs to space group F-43m (No. 216); the cell edges are 7.549, 7.549 and 7.549 Å and the angles 90.00°, 90.00° and 90.00°. The asymmetric unit holds K at (0.000, 0.000, 0.000), Sc at (0.000, 0.000, 0.500), Sc at (0.250, 0.250, 0.750) and Ag at (0.250, 0.250, 0.250).

N(E_F) values, unit states/eV per atom, following the record order: 0.922; 0.929; 2.526; 1.382.